The following is a DFT calculation (GGA-PBE) of a relaxed CoAg2Os crystal.

Properties
DFT formation energy = 0.6146 eV/atom
N(E_F) = 0.90 states/eV per atom
Uncorrected energy = -5.3949 eV/atom
Calculated volume = 15.14 A^3/atom
Relative energy among the computed polymorphs = 277 meV/atom

The structure in CIF format:
```
data_CoAg2Os
_chemical_formula_sum 'Co2 Ag4 Os2'
_space_group_name_H-M_alt 'C 1 2/m 1'
_space_group_IT_number 12
_space_group_name_Hall '-C 2y'
_cell_length_a 9.6702
_cell_length_b 2.6655
_cell_length_c 4.7668
_cell_angle_alpha 90.00
_cell_angle_beta 99.71
_cell_angle_gamma 90.00
loop_
_atom_site_label
_atom_site_fract_x
_atom_site_fract_y
_atom_site_fract_z
Co1 0.0000 0.0000 0.0000
Ag1 0.2473 0.5000 0.2476
Os1 0.0000 0.5000 0.5000
```